# 1
VASP calculation (PBE) on a relaxed CaAl3Sn3 crystal.

Unit cell a=7.6067 b=7.6067 c=7.6067 alpha=90.00 beta=90.00 gamma=90.00
Positions (direct):
Al  0.0000  0.2500  0.5000
Al  0.0000  0.7500  0.5000
Al  0.5000  0.0000  0.7500
Al  0.5000  0.0000  0.2500
Al  0.7500  0.5000  0.0000
Al  0.2500  0.5000  0.0000
Ca  0.0000  0.0000  0.0000
Ca  0.5000  0.5000  0.5000
Sn  0.0000  0.5000  0.2500
Sn  0.2500  0.0000  0.5000
Sn  0.5000  0.7500  0.0000
Sn  0.7500  0.0000  0.5000
Sn  0.0000  0.5000  0.7500
Sn  0.5000  0.2500  0.0000

E: -3.4320 eV/atom
Space-group type: Pm-3n



# 2
VASP calculation (PBE) on a relaxed Ca3AlSn2 crystal.

Unit cell a=4.5676 b=12.4934 c=12.5156 alpha=90.00 beta=90.00 gamma=90.00
Positions (direct):
Sn  0.2500  0.8146  0.9794
Sn  0.2500  0.6854  0.4794
Sn  0.7500  0.3146  0.5206
Sn  0.2500  0.0041  0.3062
Sn  0.2500  0.4959  0.8062
Sn  0.7500  0.1854  0.0206
Sn  0.7500  0.5041  0.1938
Sn  0.7500  0.9959  0.6938
Ca  0.2500  0.7031  0.2081
Ca  0.7500  0.5579  0.6270
Ca  0.2500  0.0579  0.8730
Ca  0.7500  0.6162  0.9404
Ca  0.2500  0.4421  0.3730
Ca  0.2500  0.7969  0.7081
Ca  0.7500  0.2031  0.2919
Ca  0.7500  0.9421  0.1270
Ca  0.7500  0.2969  0.7919
Ca  0.7500  0.8838  0.4404
Ca  0.2500  0.1162  0.5596
Ca  0.2500  0.3838  0.0596
Al  0.7500  0.6402  0.3648
Al  0.2500  0.3598  0.6352
Al  0.7500  0.8598  0.8648
Al  0.2500  0.1402  0.1352

Distance to the lowest polymorph of the same formula: 0.00 kJ/mol of atoms
Space-group type: Pnma



# 3
VASP calculation (PBE) on a relaxed Ca4Al2Sn5 crystal.

Unit cell a=4.6151 b=7.6269 c=8.8931 alpha=90.33 beta=90.00 gamma=90.00
Positions (direct):
Sn  0.0000  0.5000  0.0000
Sn  0.0000  0.8785  0.1261
Sn  0.0000  0.1215  0.8739
Sn  0.0000  0.5722  0.6565
Sn  0.0000  0.4278  0.3435
Ca  0.5000  0.2203  0.1324
Ca  0.5000  0.7797  0.8676
Ca  0.5000  0.2560  0.6170
Ca  0.5000  0.7440  0.3830
Al  0.0000  0.0780  0.3767
Al  0.0000  0.9220  0.6233

E: -3.6545 eV/atom
Space-group type: P2/m



# 4
VASP calculation (PBE) on a relaxed Ca3Al2Sn4 crystal.

Unit cell a=4.4904 b=6.6702 c=9.2359 alpha=108.56 beta=90.00 gamma=109.67
Positions (direct):
Sn  0.9140  0.8280  0.6178
Sn  0.7015  0.4029  0.0610
Sn  0.2985  0.5971  0.9390
Sn  0.0860  0.1720  0.3822
Ca  0.0000  0.0000  0.0000
Ca  0.3808  0.7615  0.3105
Ca  0.6192  0.2385  0.6895
Al  0.2914  0.5828  0.6328
Al  0.7086  0.4172  0.3672

Distance to the lowest polymorph of the same formula: 0.00 kJ/mol of atoms
Space-group type: C2/m



# 5
VASP calculation (PBE) on a relaxed Ca8Al2Sn crystal.

Unit cell a=5.3080 b=8.2300 c=9.3565 alpha=116.09 beta=106.48 gamma=90.00
Positions (direct):
Ca  0.8439  0.8439  0.6877
Ca  0.1561  0.1561  0.3123
Ca  0.3422  0.5634  0.6845
Ca  0.6578  0.4366  0.3155
Ca  0.0000  0.7008  0.0000
Ca  0.6578  0.8790  0.3155
Ca  0.0000  0.2992  0.0000
Ca  0.3422  0.1210  0.6845
Al  0.8130  0.3130  0.6261
Al  0.1870  0.6870  0.3739
Sn  0.5000  0.0000  0.0000

E: -2.7259 eV/atom
Space-group type: Immm



# 6
VASP calculation (PBE) on a relaxed Ca4AlSn8 crystal.

Unit cell a=4.4834 b=4.6719 c=17.3799 alpha=90.00 beta=90.00 gamma=90.00
Positions (direct):
Sn  0.0000  0.5000  0.2274
Sn  0.0000  0.0000  0.4771
Sn  0.5000  0.5000  0.7523
Sn  0.5000  0.5000  0.0401
Sn  0.0000  0.0000  0.7523
Sn  0.5000  0.0000  0.5936
Sn  0.5000  0.0000  0.2277
Sn  0.0000  0.5000  0.9249
Ca  0.5000  0.5000  0.3985
Ca  0.0000  0.5000  0.6056
Ca  0.5000  0.0000  0.8978
Ca  0.0000  0.0000  0.0813
Al  0.0000  0.0000  0.3246

E: -3.7459 eV/atom
Space-group type: Pmm2



# 7
VASP calculation (PBE) on a relaxed CaAlSn2 crystal.

Unit cell a=3.8427 b=3.8427 c=6.8612 alpha=90.00 beta=90.00 gamma=90.00
Positions (direct):
Ca  0.5000  0.5000  0.5000
Al  0.5000  0.5000  0.0000
Sn  0.0000  0.0000  0.7862
Sn  0.0000  0.0000  0.2138

E: -3.6755 eV/atom
Space-group type: P4/mmm



# 8
VASP calculation (PBE) on a relaxed CaAl2Sn2 crystal.

Unit cell a=8.1200 b=8.1200 c=3.6347 alpha=90.00 beta=90.00 gamma=90.00
Positions (direct):
Al  0.6197  0.1197  0.0000
Al  0.8803  0.6197  0.0000
Al  0.1197  0.3803  0.0000
Al  0.3803  0.8803  0.0000
Sn  0.6705  0.8295  0.5000
Sn  0.3295  0.1705  0.5000
Sn  0.1705  0.6705  0.5000
Sn  0.8295  0.3295  0.5000
Ca  0.5000  0.5000  0.0000
Ca  0.0000  0.0000  0.0000

E: -3.6342 eV/atom
Space-group type: P4/mbm



# 9
VASP calculation (PBE) on a relaxed CaAlSn crystal.

Unit cell a=3.7217 b=3.7217 c=6.1647 alpha=107.57 beta=107.57 gamma=90.00
Positions (direct):
Sn  0.3095  0.3095  0.6190
Ca  0.6146  0.6146  0.2292
Al  0.9259  0.9259  0.8518

E: -3.4966 eV/atom
Space-group type: I4mm



# 10
VASP calculation (PBE) on a relaxed CaAlSn2 crystal.

Unit cell a=4.4575 b=4.4575 c=10.5881 alpha=102.14 beta=102.14 gamma=90.01
Positions (direct):
Al  0.7499  0.2499  0.5000
Al  0.2499  0.7499  0.5000
Ca  0.1241  0.1241  0.2483
Ca  0.8758  0.8758  0.7517
Sn  0.3444  0.3444  0.6889
Sn  0.5000  0.9999  0.0000
Sn  0.9999  0.5000  0.0000
Sn  0.6555  0.6555  0.3111

E: -3.7319 eV/atom
Space-group type: I4/mmm



# 11
VASP calculation (PBE) on a relaxed CaAlSn2 crystal.

Unit cell a=4.1168 b=4.1168 c=8.0907 alpha=75.26 beta=75.26 gamma=60.00
Positions (direct):
Sn  0.2671  0.2671  0.1986
Sn  0.7329  0.7329  0.8014
Ca  0.5000  0.5000  0.5000
Al  0.0000  0.0000  0.0000

E: -3.5175 eV/atom
Space-group type: R-3m



# 12
VASP calculation (PBE) on a relaxed CaAlSn crystal.

Unit cell a=4.5188 b=4.5360 c=4.5360 alpha=120.00 beta=90.00 gamma=90.00
Positions (direct):
Al  0.1071  0.0000  0.0000
Sn  0.2190  0.3333  0.6667
Ca  0.6739  0.6667  0.3333

E: -3.5938 eV/atom
Space-group type: P3m1



# 13
VASP calculation (PBE) on a relaxed Ca3AlSn2 crystal.

Unit cell a=6.7098 b=6.8078 c=9.1360 alpha=111.88 beta=111.54 gamma=90.00
Positions (direct):
Ca  0.5000  0.2500  0.0000
Ca  0.4053  0.6734  0.3467
Ca  0.9414  0.1734  0.3467
Ca  0.5000  0.7500  0.0000
Ca  0.5947  0.3266  0.6533
Ca  0.0586  0.8266  0.6533
Sn  0.6495  0.8797  0.7594
Sn  0.8901  0.6203  0.2406
Sn  0.3505  0.1203  0.2406
Sn  0.1099  0.3797  0.7594
Al  0.0000  0.2500  0.0000
Al  0.0000  0.7500  0.0000

Distance to the lowest polymorph of the same formula: 7.80 kJ/mol of atoms
Space-group type: Ibam



# 14
VASP calculation (PBE) on a relaxed CaAl2Sn2 crystal.

Unit cell a=8.1672 b=8.1672 c=3.6899 alpha=90.00 beta=90.00 gamma=90.00
Positions (direct):
Al  0.1489  0.6489  0.5000
Al  0.3511  0.1489  0.5000
Al  0.8511  0.3511  0.5000
Al  0.6489  0.8511  0.5000
Sn  0.1422  0.3578  0.0000
Sn  0.8578  0.6422  0.0000
Sn  0.3578  0.8578  0.0000
Sn  0.6422  0.1422  0.0000
Ca  0.5000  0.5000  0.0000
Ca  0.0000  0.0000  0.0000

E: -3.5558 eV/atom
Space-group type: P4/mbm



# 15
VASP calculation (PBE) on a relaxed CaAl2Sn2 crystal.

Unit cell a=4.5199 b=4.5199 c=7.5236 alpha=90.00 beta=90.00 gamma=120.00
Positions (direct):
Sn  0.6667  0.3333  0.7477
Sn  0.3333  0.6667  0.2523
Ca  0.0000  0.0000  0.0000
Al  0.6667  0.3333  0.3706
Al  0.3333  0.6667  0.6294

E: -3.7151 eV/atom
Space-group type: P-3m1



# 16
VASP calculation (PBE) on a relaxed Ca5Al2Sn crystal.

Unit cell a=8.1700 b=8.1700 c=9.4400 alpha=115.64 beta=115.64 gamma=90.00
Positions (direct):
Al  0.6120  0.1120  0.0000
Al  0.8880  0.6120  0.0000
Al  0.1120  0.3880  0.0000
Al  0.3880  0.8880  0.0000
Ca  0.9646  0.4646  0.2832
Ca  0.4646  0.3185  0.2832
Ca  0.0354  0.5354  0.7168
Ca  0.5000  0.5000  0.0000
Ca  0.0000  0.0000  0.0000
Ca  0.3185  0.8185  0.2832
Ca  0.1815  0.0354  0.7168
Ca  0.6815  0.1815  0.7168
Ca  0.8185  0.9646  0.2832
Ca  0.5354  0.6815  0.7168
Sn  0.7500  0.7500  0.5000
Sn  0.2500  0.2500  0.5000

E: -3.0396 eV/atom
Space-group type: I4/mcm



# 17
VASP calculation (PBE) on a relaxed Ca8AlSn2 crystal.

Unit cell a=5.4840 b=7.5370 c=9.6756 alpha=112.92 beta=106.46 gamma=90.00
Positions (direct):
Ca  0.6389  0.8725  0.2778
Ca  0.0000  0.2544  0.0000
Ca  0.6389  0.4052  0.2778
Ca  0.1860  0.1860  0.3720
Ca  0.0000  0.7456  0.0000
Ca  0.3611  0.5948  0.7222
Ca  0.8140  0.8140  0.6280
Ca  0.3611  0.1275  0.7222
Sn  0.8126  0.3126  0.6252
Sn  0.1874  0.6874  0.3748
Al  0.5000  0.0000  0.0000

E: -2.8638 eV/atom
Space-group type: Immm



# 18
VASP calculation (PBE) on a relaxed Ca3Al2Sn4 crystal.

Unit cell a=4.3370 b=7.4289 c=8.7041 alpha=111.82 beta=104.29 gamma=90.08
Positions (direct):
Sn  0.5043  0.6946  0.0095
Sn  0.4957  0.3054  0.9905
Sn  0.7939  0.7742  0.5901
Sn  0.2061  0.2258  0.4099
Al  0.3217  0.0324  0.6445
Al  0.6783  0.9676  0.3555
Ca  0.8640  0.4088  0.7268
Ca  0.0000  0.0000  0.0000
Ca  0.1360  0.5912  0.2732

Distance to the lowest polymorph of the same formula: 1.31 kJ/mol of atoms
Space-group type: P-1



# 19
VASP calculation (PBE) on a relaxed Ca5AlSn4 crystal.

Unit cell a=4.2908 b=8.3936 c=9.0783 alpha=79.82 beta=103.67 gamma=90.00
Positions (direct):
Ca  0.1255  0.8108  0.2510
Ca  0.7947  0.6576  0.5894
Ca  0.5000  0.5000  0.0000
Ca  0.2053  0.3424  0.4106
Ca  0.8745  0.1892  0.7490
Al  0.5000  0.0000  0.0000
Sn  0.3213  0.9380  0.6426
Sn  0.0518  0.2043  0.1036
Sn  0.6787  0.0620  0.3574
Sn  0.9482  0.7957  0.8964

E: -3.3141 eV/atom
Space-group type: C2/m



# 20
VASP calculation (PBE) on a relaxed Sr2CaAlSn2 crystal.

Unit cell a=7.0073 b=7.0659 c=9.3291 alpha=112.25 beta=112.06 gamma=90.00
Positions (direct):
Sn  0.1576  0.8877  0.7754
Sn  0.3822  0.6123  0.2246
Sn  0.6178  0.3877  0.7754
Sn  0.8424  0.1123  0.2246
Al  0.5000  0.2500  0.0000
Al  0.5000  0.7500  0.0000
Sr  0.4412  0.1709  0.3418
Sr  0.0994  0.3291  0.6582
Sr  0.5588  0.8291  0.6582
Sr  0.9006  0.6709  0.3418
Ca  0.0000  0.2500  0.0000
Ca  0.0000  0.7500  0.0000

E: -3.3318 eV/atom
Space-group type: Ibam



| no. | V (Å³ per cell) |
| --- | --- |
| 1 | 440.1 |
| 2 | 714.2 |
| 3 | 313.0 |
| 4 | 245.2 |
| 5 | 348.3 |
| 6 | 364.0 |
| 7 | 101.3 |
| 8 | 239.7 |
| 9 | 77.2 |
| 10 | 200.9 |
| 11 | 113.5 |
| 12 | 80.5 |
| 13 | 355.7 |
| 14 | 246.1 |
| 15 | 133.1 |
| 16 | 498.3 |
| 17 | 350.5 |
| 18 | 250.9 |
| 19 | 312.4 |
| 20 | 390.7 |